Version a
Here is an optimized crystal structure of Tb2YTl4 from Alexandria. Energies are from GGA-PBE.

Properties
- total magnetization (μB/atom) = 0.0000

The structure in POSCAR format:
```
Tb2YTl4
1.0
6.4329 0.0000 0.0000
0.0000 5.0432 0.0000
-1.0833 0.0000 6.5024
Tb Y Tl
2 1 4
Direct
0.0000 0.0000 0.0000
0.4168 0.0000 0.5502
0.7068 0.5000 0.2738
0.2071 0.5000 0.2766
0.2077 0.5000 0.7764
0.5025 0.0000 0.0382
0.9138 0.0000 0.5108
```

Version b
Here is an optimized crystal structure of Tb2YTl4 from Alexandria. Energies are from GGA-PBE.

Properties
- total magnetization (μB/atom) = 0.0399

The structure in POSCAR format:
```
Tb2YTl4
1.0
7.5014 0.0000 0.0000
0.0000 7.5014 0.0000
0.0000 0.0000 7.5146
Tb Y Tl
4 2 8
Direct
0.0000 0.5000 0.0000
0.0000 0.5000 0.5000
0.5000 0.0000 0.0000
0.5000 0.0000 0.5000
0.0000 0.0000 0.0000
0.5000 0.5000 0.5000
0.2500 0.2500 0.2500
0.2500 0.2500 0.7500
0.2500 0.7500 0.2500
0.2500 0.7500 0.7500
0.7500 0.2500 0.2500
0.7500 0.2500 0.7500
0.7500 0.7500 0.2500
0.7500 0.7500 0.7500
```

Result of the stability comparison: version a is the least stable of them.

Version a
Here is an optimized crystal structure of Tb6YTl from Alexandria. Energies are from GGA-PBE.

Properties
- total magnetization (μB/atom) = 0.0000

The structure in POSCAR format:
```
Tb6YTl
1.0
4.9155 0.0000 0.0000
0.0000 4.9155 0.0000
0.0000 0.0000 10.1118
Tb Y Tl
6 1 1
Direct
0.0000 0.0000 0.0000
0.0000 0.0000 0.5000
0.0000 0.5000 0.2445
0.0000 0.5000 0.7555
0.5000 0.0000 0.2445
0.5000 0.0000 0.7555
0.5000 0.5000 0.5000
0.5000 0.5000 0.0000
```

Version b
Here is an optimized crystal structure of Tb6YTl from Alexandria. Energies are from GGA-PBE.

Properties
- total magnetization (μB/atom) = 0.0001

The structure in POSCAR format:
```
Tb6YTl
1.0
4.6312 2.6738 3.4016
-4.6312 2.6738 3.4016
0.0000 -5.3477 3.4016
Tb Y Tl
6 1 1
Direct
0.0362 0.7584 0.5437
0.2416 0.4563 0.9638
0.4563 0.9638 0.2416
0.5437 0.0362 0.7584
0.7584 0.5437 0.0362
0.9638 0.2416 0.4563
0.5000 0.5000 0.5000
0.0000 0.0000 0.0000
```

Result of the stability comparison: version b is the least stable of them.

Version a
Here is an optimized crystal structure of Tb4Y5Tl from Alexandria. Energies are from GGA-PBE.

Properties
- total magnetization (μB/atom) = 0.0000

The structure in POSCAR format:
```
Tb4Y5Tl
1.0
3.5838 0.0000 0.0000
0.0000 3.5838 0.0000
0.0000 0.0000 24.4094
Tb Y Tl
4 5 1
Direct
0.0000 0.0000 0.1031
0.0000 0.0000 0.3100
0.0000 0.0000 0.6900
0.0000 0.0000 0.8969
0.5000 0.5000 0.0000
0.5000 0.5000 0.2060
0.5000 0.5000 0.4129
0.5000 0.5000 0.5871
0.5000 0.5000 0.7940
0.0000 0.0000 0.5000
```

Version b
Here is an optimized crystal structure of Tb4Y5Tl from Alexandria. Energies are from GGA-PBE.

Properties
- total magnetization (μB/atom) = 0.0000

The structure in POSCAR format:
```
Tb4Y5Tl
1.0
-5.3289 5.3289 2.9151
5.3289 -5.3289 2.9151
5.3289 5.3289 -2.9151
Tb Y Tl
4 5 1
Direct
0.0000 0.3187 0.3187
0.0000 0.6813 0.6813
0.3187 0.0000 0.3187
0.6813 0.0000 0.6813
0.1956 0.1956 0.0000
0.3111 0.3111 0.6291
0.3111 0.6819 0.0000
0.6819 0.3111 0.0000
0.6819 0.6819 0.3709
0.7155 0.7155 0.0000
```

Result of the stability comparison: version b is the least stable of them.

Version a
Here is an optimized crystal structure of TbYTl2 from Alexandria. Energies are from GGA-PBE.

Properties
- total magnetization (μB/atom) = 0.0000

The structure in POSCAR format:
```
TbYTl2
1.0
7.5587 0.0000 0.0000
0.0000 7.6225 0.0000
-3.7583 0.0000 3.8284
Tb Y Tl
2 2 4
Direct
0.0000 0.0000 0.0000
0.5000 0.5000 0.0000
0.0000 0.5000 0.0000
0.5000 0.0000 0.0000
0.0000 0.2500 0.5000
0.0000 0.7500 0.5000
0.5000 0.2500 0.5000
0.5000 0.7500 0.5000
```

Version b
Here is an optimized crystal structure of TbYTl2 from Alexandria. Energies are from GGA-PBE.

Properties
- total magnetization (μB/atom) = 0.0000

The structure in POSCAR format:
```
TbYTl2
1.0
3.8008 0.0000 0.0000
0.0000 3.8008 0.0000
0.0000 0.0000 7.6004
Tb Y Tl
1 1 2
Direct
0.0000 0.0000 0.0000
0.0000 0.0000 0.5000
0.5000 0.5000 0.2507
0.5000 0.5000 0.7493
```

Result of the stability comparison: version a is the least stable of them.

Version a
Here is an optimized crystal structure of Tb3YTl from Alexandria. Energies are from GGA-PBE.

Properties
- total magnetization (μB/atom) = 0.0000

The structure in POSCAR format:
```
Tb3YTl
1.0
2.4129 -12.7808 0.0000
2.4129 12.7808 0.0000
0.0000 0.0000 4.8058
Tb Y Tl
6 2 2
Direct
0.0485 0.9515 0.7500
0.2504 0.7496 0.7500
0.4482 0.5518 0.7500
0.5518 0.4482 0.2500
0.7496 0.2504 0.2500
0.9515 0.0485 0.2500
0.1495 0.8505 0.2500
0.8505 0.1495 0.7500
0.3475 0.6525 0.2500
0.6525 0.3475 0.7500
```

Version b
Here is an optimized crystal structure of Tb3YTl from Alexandria. Energies are from GGA-PBE.

Properties
- total magnetization (μB/atom) = 0.0000

The structure in POSCAR format:
```
Tb3YTl
1.0
5.5711 0.0000 0.0000
0.0504 6.8217 0.0000
1.1250 0.7035 8.1513
Tb Y Tl
6 2 2
Direct
0.1896 0.0293 0.2529
0.2165 0.4949 0.3385
0.2905 0.2213 0.7987
0.7095 0.7787 0.2013
0.7835 0.5051 0.6615
0.8104 0.9707 0.7471
0.2658 0.6882 0.9513
0.7342 0.3118 0.0487
0.3388 0.7948 0.5790
0.6612 0.2052 0.4210
```

Result of the stability comparison: version b is the least stable of them.

Version a
Here is an optimized crystal structure of Tb3Y2Tl from Alexandria. Energies are from GGA-PBE.

Properties
- total magnetization (μB/atom) = 0.0008

The structure in POSCAR format:
```
Tb3Y2Tl
1.0
5.7816 0.0000 0.0000
0.0000 6.4300 0.0000
0.0000 0.0000 10.2009
Tb Y Tl
6 4 2
Direct
0.0000 0.0000 0.0000
0.0000 0.0000 0.3472
0.0000 0.0000 0.6528
0.5000 0.5000 0.1528
0.5000 0.5000 0.5000
0.5000 0.5000 0.8472
0.0000 0.5000 0.3143
0.0000 0.5000 0.6857
0.5000 0.0000 0.1857
0.5000 0.0000 0.8143
0.0000 0.5000 0.0000
0.5000 0.0000 0.5000
```

Version b
Here is an optimized crystal structure of Tb3Y2Tl from Alexandria. Energies are from GGA-PBE.

Properties
- total magnetization (μB/atom) = 0.0000

The structure in POSCAR format:
```
Tb3Y2Tl
1.0
4.8750 0.0000 0.0000
0.0000 15.1854 0.0000
0.0000 0.0000 4.9029
Tb Y Tl
6 4 2
Direct
0.0000 0.0000 0.0000
0.0000 0.3308 0.0000
0.0000 0.6692 0.0000
0.5000 0.1692 0.0000
0.5000 0.5000 0.0000
0.5000 0.8308 0.0000
0.0000 0.1615 0.5000
0.0000 0.8385 0.5000
0.5000 0.3385 0.5000
0.5000 0.6615 0.5000
0.0000 0.5000 0.5000
0.5000 0.0000 0.5000
```

Result of the stability comparison: version a is the least stable of them.

Version a
Here is an optimized crystal structure of TbY6Tl from Alexandria. Energies are from GGA-PBE.

Properties
- total magnetization (μB/atom) = 0.0001

The structure in POSCAR format:
```
TbY6Tl
1.0
4.6426 2.6804 3.3902
-4.6426 2.6804 3.3902
0.0000 -5.3608 3.3902
Tb Y Tl
1 6 1
Direct
0.0000 0.0000 0.0000
0.0464 0.2586 0.5365
0.2586 0.5365 0.0464
0.4635 0.9536 0.7414
0.5365 0.0464 0.2586
0.7414 0.4635 0.9536
0.9536 0.7414 0.4635
0.5000 0.5000 0.5000
```

Version b
Here is an optimized crystal structure of TbY6Tl from Alexandria. Energies are from GGA-PBE.

Properties
- total magnetization (μB/atom) = 0.0001

The structure in POSCAR format:
```
TbY6Tl
1.0
4.9211 0.0000 0.0000
0.0000 4.9211 0.0000
0.0000 0.0000 10.1345
Tb Y Tl
1 6 1
Direct
0.0000 0.0000 0.0000
0.0000 0.5000 0.2554
0.0000 0.5000 0.7446
0.5000 0.0000 0.2554
0.5000 0.0000 0.7446
0.5000 0.5000 0.0000
0.5000 0.5000 0.5000
0.0000 0.0000 0.5000
```

Result of the stability comparison: version a is the least stable of them.

Version a
Here is an optimized crystal structure of Tb2Y6Tl from Alexandria. Energies are from GGA-PBE.

Properties
- total magnetization (μB/atom) = 0.0002

The structure in POSCAR format:
```
Tb2Y6Tl
1.0
9.9662 0.0000 0.0000
0.0000 10.3992 0.0000
0.0000 0.0000 5.4550
Tb Y Tl
4 12 2
Direct
0.1933 0.2368 0.0000
0.3067 0.7368 0.5000
0.6933 0.2632 0.5000
0.8067 0.7632 0.0000
0.0202 0.3202 0.5000
0.1395 0.8894 0.0000
0.1790 0.5639 0.0000
0.3210 0.0639 0.5000
0.3605 0.3894 0.5000
0.4798 0.8202 0.0000
0.5202 0.1798 0.0000
0.6395 0.6106 0.5000
0.6790 0.9361 0.5000
0.8210 0.4361 0.0000
0.8605 0.1106 0.0000
0.9798 0.6798 0.5000
0.0000 0.0000 0.5000
0.5000 0.5000 0.0000
```

Version b
Here is an optimized crystal structure of Tb2Y6Tl from Alexandria. Energies are from GGA-PBE.

Properties
- total magnetization (μB/atom) = 0.0000

The structure in POSCAR format:
```
Tb2Y6Tl
1.0
9.4475 0.0000 0.0000
-4.7237 8.1818 0.0000
0.0000 0.0000 3.6561
Tb Y Tl
2 6 1
Direct
0.3333 0.6667 0.0000
0.6667 0.3333 0.0000
0.0000 0.3791 0.5000
0.0000 0.7211 0.0000
0.2789 0.2789 0.0000
0.3791 0.0000 0.5000
0.6209 0.6209 0.5000
0.7211 0.0000 0.0000
0.0000 0.0000 0.5000
```

Result of the stability comparison: version a is the least stable of them.

Version a
Here is an optimized crystal structure of Tb2Y8Tl from Alexandria. Energies are from GGA-PBE.

Properties
- total magnetization (μB/atom) = 0.0000

The structure in POSCAR format:
```
Tb2Y8Tl
1.0
9.0301 -2.4903 0.0000
9.0301 2.4903 0.0000
-2.1322 0.0000 7.6336
Tb Y Tl
2 8 1
Direct
0.2231 0.2231 0.1342
0.7769 0.7769 0.8658
0.0452 0.0452 0.2231
0.1348 0.1348 0.6774
0.3187 0.3187 0.5894
0.4092 0.4092 0.0560
0.5908 0.5908 0.9440
0.6813 0.6813 0.4106
0.8652 0.8652 0.3226
0.9548 0.9548 0.7769
0.5000 0.5000 0.5000
```

Version b
Here is an optimized crystal structure of Tb2Y8Tl from Alexandria. Energies are from GGA-PBE.

Properties
- total magnetization (μB/atom) = 0.0000

The structure in POSCAR format:
```
Tb2Y8Tl
1.0
9.7408 -2.7885 0.0000
9.7408 2.7885 0.0000
-0.5755 0.0000 6.4384
Tb Y Tl
2 8 1
Direct
0.2434 0.2434 0.3360
0.7566 0.7566 0.6640
0.0448 0.0448 0.2666
0.1546 0.1546 0.8033
0.3385 0.3385 0.8756
0.4216 0.4216 0.4004
0.5784 0.5784 0.5996
0.6615 0.6615 0.1244
0.8454 0.8454 0.1967
0.9552 0.9552 0.7334
0.5000 0.5000 0.0000
```

Result of the stability comparison: version a is the least stable of them.

Version a
Here is an optimized crystal structure of Tb2Y2Tl from Alexandria. Energies are from GGA-PBE.

Properties
- total magnetization (μB/atom) = 0.0000

The structure in POSCAR format:
```
Tb2Y2Tl
1.0
3.5603 0.0000 0.0000
0.0000 5.2149 0.0000
0.0000 0.0000 16.6389
Tb Y Tl
4 4 2
Direct
0.0000 0.0000 0.0000
0.0000 0.0000 0.2013
0.0000 0.5000 0.5000
0.0000 0.5000 0.7013
0.5000 0.0000 0.3860
0.5000 0.0000 0.6057
0.5000 0.5000 0.1057
0.5000 0.5000 0.8860
0.0000 0.0000 0.8036
0.0000 0.5000 0.3036
```

Version b
Here is an optimized crystal structure of Tb2Y2Tl from Alexandria. Energies are from GGA-PBE.

Properties
- total magnetization (μB/atom) = 0.0890

The structure in POSCAR format:
```
Tb2Y2Tl
1.0
-2.5492 2.5492 12.7584
2.5492 -2.5492 12.7584
2.5492 2.5492 -12.7584
Tb Y Tl
4 4 2
Direct
0.0470 0.2970 0.7500
0.2970 0.0470 0.2500
0.7030 0.9530 0.7500
0.9530 0.7030 0.2500
0.1982 0.4482 0.7500
0.4482 0.1982 0.2500
0.5518 0.8018 0.7500
0.8018 0.5518 0.2500
0.1250 0.8750 0.2500
0.8750 0.1250 0.7500
```

Result of the stability comparison: version b is the least stable of them.

Version a
Here is an optimized crystal structure of TbY2Tl2 from Alexandria. Energies are from GGA-PBE.

Properties
- total magnetization (μB/atom) = 0.1398

The structure in POSCAR format:
```
TbY2Tl2
1.0
5.7979 0.0000 0.0000
0.0000 3.7275 0.0000
-1.3779 0.0000 13.9633
Tb Y Tl
2 4 4
Direct
0.2002 0.2500 0.2507
0.7998 0.7500 0.7493
0.2422 0.7500 0.4657
0.3116 0.2500 0.8829
0.6884 0.7500 0.1171
0.7578 0.2500 0.5343
0.1876 0.7500 0.0571
0.2862 0.2500 0.6603
0.7138 0.7500 0.3397
0.8124 0.2500 0.9429
```

Version b
Here is an optimized crystal structure of TbY2Tl2 from Alexandria. Energies are from GGA-PBE.

Properties
- total magnetization (μB/atom) = 0.0000

The structure in POSCAR format:
```
TbY2Tl2
1.0
3.7915 0.0000 0.0000
0.0000 5.3906 0.0000
-1.8998 0.0000 14.0008
Tb Y Tl
2 4 4
Direct
0.1480 0.2500 0.2975
0.8520 0.7500 0.7025
0.0498 0.7500 0.0991
0.2378 0.7500 0.4753
0.7622 0.2500 0.5247
0.9502 0.2500 0.9009
0.3549 0.2500 0.7092
0.4511 0.7500 0.9031
0.5489 0.2500 0.0969
0.6451 0.7500 0.2908
```

Result of the stability comparison: version a is the least stable of them.